NaPmFeF6 | PBE+U | relaxed

Uncorrected energy   -5.78 eV per atom
Space-group type   P4_2nm (102)
N(E_F)   0.0 states/eV/f.u.
Total magnetization   4.00 μB/f.u.

Cell lengths 5.154, 5.154, 10.477 Å; angles 90.00, 90.00, 90.00 degrees
Each line ends with the local moment (μB).
Element x y z (fractional)
F (0.810, 0.190, 0.179)  0.02
F (0.187, 0.813, 0.493)  0.02
Pm (0.000, 0.000, 0.667)  0.01
F (0.190, 0.810, 0.179)  0.02
F (0.717, 0.717, 0.327)  0.02
F (0.687, 0.687, 0.993)  0.02
Pm (0.500, 0.500, 0.167)  0.01
F (0.283, 0.283, 0.327)  0.02
Fe (0.500, 0.500, 0.834)  3.81
F (0.813, 0.187, 0.493)  0.02
F (0.217, 0.783, 0.827)  0.02
F (0.310, 0.310, 0.679)  0.02
Fe (0.000, 0.000, 0.334)  3.81
Na (0.000, 0.000, 0.001)  0.00
F (0.783, 0.217, 0.827)  0.02
F (0.690, 0.690, 0.679)  0.02
Na (0.500, 0.500, 0.501)  0.00
F (0.313, 0.313, 0.993)  0.02